No. 1
SrMoPS2 PBE-GGA optimized geometry; total magnetic moment = 1.9 μB/cell; volume = 32.2 Å³ per atom; mass density = 2871 kg/m³
1.0
-1.8077 -1.9380 -4.7309
0.1141 -5.0320 2.0177
-5.1661 0.5792 1.7367
S Mo Sr P
2 1 1 1
direct
0.0000 0.5000 0.0000
0.5000 0.0000 0.0000
0.5000 0.5000 0.5000
0.0000 0.0000 0.0000
0.0000 0.0000 0.5000

---

No. 2
SrMoPS2 PBE-GGA optimized geometry; total magnetic moment = 0.0 μB/cell; volume = 21.9 Å³ per atom; mass density = 4227 kg/m³
1.0
4.8130 0.0000 0.0000
0.0000 4.8130 0.0000
0.0000 0.0000 4.7258
S P Sr Mo
2 1 1 1
direct
0.0000 0.5000 0.0000
0.5000 0.0000 0.0000
0.0000 0.0000 0.5000
0.5000 0.5000 0.5000
0.0000 0.0000 0.0000

---

No. 3
TcMoPS2 PBE-GGA optimized geometry; total magnetic moment = 0.0 μB/cell; volume = 18.7 Å³ per atom; mass density = 5121 kg/m³
1.0
-3.8470 2.3703 -0.2568
-2.0469 -3.5335 -1.9513
-1.2359 -1.5595 4.1204
S Tc Mo P
2 1 1 1
direct
0.0000 0.5000 0.0000
0.5000 0.0000 0.0000
0.0000 0.0000 0.0000
0.5000 0.5000 0.5000
0.0000 0.0000 0.5000

---

No. 4
TcMoPS2 PBE-GGA optimized geometry; total magnetic moment = 4.3 μB/cell; volume = 20.7 Å³ per atom; mass density = 4641 kg/m³
1.0
4.5843 0.0000 0.0000
0.0000 4.5843 0.0000
0.0000 0.0000 4.9207
P Tc S Mo
1 1 2 1
direct
0.0000 0.0000 0.5000
0.5000 0.5000 0.5000
0.5000 0.0000 0.0000
0.0000 0.5000 0.0000
0.0000 0.0000 0.0000

---

Quick rundown of ΔE_f (raw), same order as above: 1.246; -0.678; 1.039; 0.832 eV per atom